Entry 1:
# Pr3AlZn6Au2 | Alexandria via LeMat-Bulk | PBE | optimized geometry
data_Pr3AlZn6Au2
_chemical_formula_sum 'Pr3 Al1 Zn6 Au2'
_symmetry_space_group_name_H-M 'P 1'
_symmetry_Int_Tables_number 1
_cell_length_a 5.605
_cell_length_b 5.605
_cell_length_c 9.517
_cell_angle_alpha 90.00
_cell_angle_beta 90.00
_cell_angle_gamma 120.00
loop_
_symmetry_equiv_pos_as_xyz
'x,y,z'
loop_
_atom_site_label
_atom_site_type_symbol
_atom_site_fract_x
_atom_site_fract_y
_atom_site_fract_z
_atom_site_occupancy
Zn1 Zn 0.171 0.829 0.271 1
Zn2 Zn 0.658 0.829 0.271 1
Zn3 Zn 0.829 0.658 0.729 1
Zn4 Zn 0.829 0.171 0.729 1
Zn5 Zn 0.171 0.342 0.271 1
Zn6 Zn 0.342 0.171 0.729 1
Al1 Al 0.000 0.000 0.500 1
Pr1 Pr 0.333 0.667 0.589 1
Pr2 Pr 0.667 0.333 0.411 1
Pr3 Pr 0.000 0.000 0.000 1
Au1 Au 0.333 0.667 0.038 1
Au2 Au 0.667 0.333 0.962 1
# Formation enthalpy at 0 K: -3.2 eV/f.u.

Entry 2:
# BaPa2PtN4 | Alexandria via LeMat-Bulk | PBE | optimized geometry
data_BaPa2PtN4
_chemical_formula_sum 'Ba2 Pa4 Pt2 N8'
_symmetry_space_group_name_H-M 'P 1'
_symmetry_Int_Tables_number 1
_cell_length_a 3.687
_cell_length_b 6.257
_cell_length_c 12.063
_cell_angle_alpha 90.00
_cell_angle_beta 90.00
_cell_angle_gamma 107.13
loop_
_symmetry_equiv_pos_as_xyz
'x,y,z'
loop_
_atom_site_label
_atom_site_type_symbol
_atom_site_fract_x
_atom_site_fract_y
_atom_site_fract_z
_atom_site_occupancy
Pa1 Pa 0.366 0.732 0.939 1
Pa2 Pa 0.366 0.732 0.561 1
Pa3 Pa 0.634 0.268 0.061 1
Pa4 Pa 0.634 0.268 0.439 1
Ba1 Ba 0.100 0.200 0.750 1
Ba2 Ba 0.900 0.800 0.250 1
N1 N 0.000 0.000 0.500 1
N2 N 0.743 0.486 0.912 1
N3 N 0.257 0.514 0.088 1
N4 N 0.743 0.486 0.588 1
N5 N 0.571 0.141 0.250 1
N6 N 0.429 0.859 0.750 1
N7 N 0.257 0.514 0.412 1
N8 N 0.000 0.000 0.000 1
Pt1 Pt 0.166 0.332 0.250 1
Pt2 Pt 0.834 0.668 0.750 1
# Formation energy without anion corrections: -108.3 kJ per mole of atoms

Entry 3:
# CaBiCl2 | Alexandria via LeMat-Bulk | PBE | optimized geometry
data_CaBiCl2
_chemical_formula_sum 'Ca2 Bi2 Cl4'
_symmetry_space_group_name_H-M 'P 1'
_symmetry_Int_Tables_number 1
_cell_length_a 8.190
_cell_length_b 8.190
_cell_length_c 6.777
_cell_angle_alpha 52.83
_cell_angle_beta 52.83
_cell_angle_gamma 90.00
loop_
_symmetry_equiv_pos_as_xyz
'x,y,z'
loop_
_atom_site_label
_atom_site_type_symbol
_atom_site_fract_x
_atom_site_fract_y
_atom_site_fract_z
_atom_site_occupancy
Bi1 Bi 0.750 0.250 0.500 1
Bi2 Bi 0.000 0.000 0.000 1
Cl1 Cl 0.569 0.125 0.250 1
Cl2 Cl 0.181 0.625 0.250 1
Cl3 Cl 0.375 0.431 0.750 1
Cl4 Cl 0.875 0.819 0.750 1
Ca1 Ca 0.500 0.500 0.000 1
Ca2 Ca 0.250 0.750 0.500 1
# Formation energy without anion corrections: -101.7 kJ per mole of atoms
# Polymorph energy (0 for the lowest one): 406 meV per atom

Entry 4:
# BiTe3N | Alexandria via LeMat-Bulk | PBE | optimized geometry
data_BiTe3N
_chemical_formula_sum 'Bi1 Te3 N1'
_symmetry_space_group_name_H-M 'P 1'
_symmetry_Int_Tables_number 1
_cell_length_a 5.988
_cell_length_b 5.988
_cell_length_c 5.988
_cell_angle_alpha 90.00
_cell_angle_beta 90.00
_cell_angle_gamma 90.00
loop_
_symmetry_equiv_pos_as_xyz
'x,y,z'
loop_
_atom_site_label
_atom_site_type_symbol
_atom_site_fract_x
_atom_site_fract_y
_atom_site_fract_z
_atom_site_occupancy
N1 N 0.500 0.500 0.500 1
Te1 Te 0.000 0.000 0.500 1
Te2 Te 0.500 0.000 0.000 1
Te3 Te 0.000 0.500 0.000 1
Bi1 Bi 0.000 0.000 0.000 1
# Formation energy without anion corrections: 147.5 kJ per mole of atoms
# Polymorph energy (0 for the lowest one): 924 meV per atom